A geometry-optimized CaGaTe2I structure, computed with GGA-PBE.

Output
Energy relative to the elements, uncorrected (meV per atom): -433
Energy above the lowest structure with this stoichiometry (meV per atom): 0

a = 5.4087 Å, b = 5.4087 Å, c = 5.8144 Å
α = 90.00°, β = 90.00°, γ = 90.00°
Sites, in units of the cell vectors:
Ca  0.0000  0.0000  0.0000
Ga  0.5000  0.5000  0.5000
Te  0.0000  0.5000  0.5000
Te  0.5000  0.0000  0.5000
I  0.5000  0.5000  0.0000